First-principles (PBE) data for crystalline ZrGeRh at its relaxed geometry, as listed in Alexandria.

It has space group P-6m2 (No. 187), with a = 4.3759 Å, b = 4.3759 Å, c = 3.0810 Å, α = 90.00°, β = 90.00° and γ = 120.00°. The inequivalent atoms are Zr at (0.0000, 0.0000, 0.0000), Ge at (0.6667, 0.3333, 0.5000) and Rh at (0.3333, 0.6667, 0.5000).

As for the density of states at the Fermi level: 3.4 states/eV/f.u. The formation energy from the elements is -2.4 eV/f.u. Its calculated volume is 51 Å³/cell. As for the total moment: 0.0 μB per formula unit.

---

First-principles (PBE) data for crystalline Zr3Ge4Rh2 at its relaxed geometry, as listed in Alexandria.

It has space group C2/m (No. 12), with a = 10.538 Å, b = 4.115 Å, c = 7.938 Å, α = 90.00°, β = 111.48° and γ = 90.00°. The inequivalent atoms are Zr at (0.000, 0.000, 0.000), Zr at (0.128, 0.500, 0.693), Ge at (0.072, 0.000, 0.391), Ge at (0.203, 0.500, 0.064) and Rh at (0.189, 0.500, 0.363).

As for the density of states at the Fermi level: 4.5 states/eV/f.u. The formation energy from the elements is -6.6 eV/f.u. Its calculated volume is 320 Å³/cell. As for the total moment: 0.0 μB per formula unit.

---

First-principles (PBE) data for crystalline Zr2Ge2Rh at its relaxed geometry, as listed in Alexandria.

It has space group Immm (No. 71), with a = 3.866 Å, b = 5.594 Å, c = 8.296 Å, α = 90.00°, β = 90.00° and γ = 90.00°. The inequivalent atoms are Zr at (0.000, 0.000, 0.208), Ge at (0.000, 0.274, 0.500) and Rh at (0.000, 0.500, 0.000).

As for the density of states at the Fermi level: 3.2 states/eV/f.u. The formation energy from the elements is -4.1 eV/f.u. Its calculated volume is 179 Å³/cell. As for the total moment: 0.0 μB per formula unit.

---

First-principles (PBE) data for crystalline ZrGeRh at its relaxed geometry, as listed in Alexandria.

It has space group P2_1/m (No. 11), with a = 6.777 Å, b = 3.855 Å, c = 11.697 Å, α = 90.00°, β = 90.56° and γ = 90.00°. The inequivalent atoms are Zr at (0.022, 0.250, 0.208), Zr at (0.341, 0.750, 0.578), Zr at (0.469, 0.750, 0.881), Ge at (0.237, 0.250, 0.416), Ge at (0.237, 0.750, 0.082), Ge at (0.274, 0.250, 0.750), Rh at (0.009, 0.250, 0.594), Rh at (0.147, 0.250, 0.955) and Rh at (0.357, 0.750, 0.294).

As for the density of states at the Fermi level: 2.0 states/eV/f.u. The formation energy from the elements is -2.8 eV/f.u. Its calculated volume is 306 Å³/cell. As for the total moment: 0.0 μB per formula unit.